VASP calculation (PBE) on a relaxed Bi2ClO3 crystal.

Cell lengths 6.1189, 6.1189, 3.1970 Å; angles 90.00, 90.00, 120.00 degrees
With the nearest neighbours (Å) after each atom.
Atoms (fractional coordinates):
Bi  0.3333  0.6667  0.0000  6 O 2.38
Bi  0.6667  0.3333  0.0000  6 O 2.38
Cl  0.0000  0.0000  0.0000  2 Cl 3.20, 12 O 3.45, 6 Bi 3.53
O  0.0000  0.5000  0.5000  4 Bi 2.38
O  0.5000  0.0000  0.5000  4 Bi 2.38
O  0.5000  0.5000  0.5000  4 Bi 2.38

Summary:
Calculated density, Mg/m³: 8.032
V, Å³/cell: 103.66
D(E_F), states/eV/cell: 3.85
Formation energy (no corrections), eV per formula unit: -4.799


VASP calculation (PBE) on a relaxed Bi2ClO crystal.

Cell lengths 8.4980, 8.4980, 8.4980 Å; angles 142.56, 142.56, 53.99 degrees
With the nearest neighbours (Å) after each atom.
Atoms (fractional coordinates):
Bi  0.0088  0.6250  0.8838  2 O 2.44
Bi  0.3750  0.2588  0.3838  2 O 2.44
Bi  0.7412  0.1250  0.1162  2 O 2.44
Bi  0.8750  0.9912  0.6162  2 O 2.44
Cl  0.2500  0.7500  0.5000  4 Bi 3.07
Cl  0.5000  0.5000  0.0000  4 Bi 3.07
O  0.0000  0.0000  0.0000  4 Bi 2.44
O  0.7500  0.2500  0.5000  4 Bi 2.44

Summary:
Calculated density, Mg/m³: 6.918
V, Å³/cell: 225.35
D(E_F), states/eV/cell: 3.86
Formation energy (no corrections), eV per formula unit: -1.771


VASP calculation (PBE) on a relaxed BiPCl2O crystal.

Cell lengths 5.3439, 5.3439, 5.7690 Å; angles 90.00, 90.00, 90.00 degrees
With the nearest neighbours (Å) after each atom.
Atoms (fractional coordinates):
Bi  0.0000  0.0000  0.0000  4 Cl 2.67, 2 P 2.88
P  0.0000  0.0000  0.5000  2 Bi 2.88
Cl  0.0000  0.5000  0.0000  2 Bi 2.67
Cl  0.5000  0.0000  0.0000  2 Bi 2.67
O  0.5000  0.5000  0.5000  4 P 3.78, 8 Cl 3.93

Summary:
Calculated density, Mg/m³: 3.294
V, Å³/cell: 164.75
D(E_F), states/eV/cell: 8.37
Formation energy (no corrections), eV per formula unit: 3.513


VASP calculation (PBE) on a relaxed BiPCl2O crystal.

Cell lengths 4.5245, 4.5245, 4.5304 Å; angles 90.00, 90.00, 90.00 degrees
With the nearest neighbours (Å) after each atom.
Atoms (fractional coordinates):
Bi  0.0000  0.0000  0.0000  4 P 3.20, 8 Cl 3.20
P  0.5000  0.5000  0.0000  2 O 2.27
Cl  0.0000  0.5000  0.5000  2 O 2.26
Cl  0.5000  0.0000  0.5000  2 O 2.26
O  0.5000  0.5000  0.5000  4 Cl 2.26, 2 P 2.27

Summary:
Calculated density, Mg/m³: 5.852
V, Å³/cell: 92.74
D(E_F), states/eV/cell: 1.57
Formation energy (no corrections), eV per formula unit: 1.902


VASP calculation (PBE) on a relaxed PaBi3Cl2O6 crystal.

Cell lengths 7.1353, 7.1353, 5.6535 Å; angles 100.39, 100.39, 57.51 degrees
With the nearest neighbours (Å) after each atom.
Atoms (fractional coordinates):
Pa  0.0000  0.0000  0.0000  6 O 2.15-2.27
Bi  0.0000  0.5000  0.0000  4 O 2.32-2.39
Bi  0.5000  0.0000  0.0000  4 O 2.32-2.39
Bi  0.5000  0.5000  0.5000  4 O 2.44
Cl  0.3034  0.3034  0.6540  3 Bi 2.77-2.79, 1 O 2.86
Cl  0.6966  0.6966  0.3460  3 Bi 2.77-2.79, 1 O 2.86
O  0.1694  0.1694  0.1781  1 Pa 2.15, 2 Bi 2.32
O  0.1790  0.6946  0.2068  1 Pa 2.27, 2 Bi 2.39-2.44
O  0.3054  0.8210  0.7932  1 Pa 2.27, 2 Bi 2.39-2.44
O  0.6946  0.1790  0.2068  1 Pa 2.27, 2 Bi 2.39-2.44
O  0.8210  0.3054  0.7932  1 Pa 2.27, 2 Bi 2.39-2.44
O  0.8306  0.8306  0.8219  1 Pa 2.15, 2 Bi 2.32

Summary:
Calculated density, Mg/m³: 7.163
V, Å³/cell: 237.59
D(E_F), states/eV/cell: 0.00
Formation energy (no corrections), eV per formula unit: -20.218


VASP calculation (PBE) on a relaxed Bi4PbCl2O6 crystal.

Cell lengths 16.3775, 16.3775, 16.3775 Å; angles 166.05, 166.05, 19.78 degrees
With the nearest neighbours (Å) after each atom.
Atoms (fractional coordinates):
Bi  0.0831  0.0831  0.0000  4 O 2.22
Bi  0.2117  0.2117  0.0000  4 O 2.34
Bi  0.7883  0.7883  0.0000  4 O 2.34
Bi  0.9169  0.9169  0.0000  4 O 2.22
Pb  0.5000  0.5000  0.0000  8 O 2.62
Cl  0.3325  0.3325  0.0000  4 Bi 3.15, 4 O 3.32
Cl  0.6675  0.6675  0.0000  4 Bi 3.15, 4 O 3.32
O  0.0529  0.5529  0.5000  2 Bi 2.22
O  0.2500  0.7500  0.5000  4 Bi 2.34
O  0.4471  0.9471  0.5000  2 Bi 2.22
O  0.5529  0.0529  0.5000  2 Bi 2.22
O  0.7500  0.2500  0.5000  4 Bi 2.34
O  0.9471  0.4471  0.5000  2 Bi 2.22

Summary:
Calculated density, Mg/m³: 7.867
V, Å³/cell: 255.40
D(E_F), states/eV/cell: 4.57
Formation energy (no corrections), eV per formula unit: -14.777


VASP calculation (PBE) on a relaxed Bi2PbClO4 crystal.

Cell lengths 3.9559, 3.9559, 9.2325 Å; angles 90.00, 90.00, 90.00 degrees
With the nearest neighbours (Å) after each atom.
Atoms (fractional coordinates):
Bi  0.0000  0.0000  0.2177  4 O 2.26
Bi  0.0000  0.0000  0.7823  4 O 2.26
Pb  0.5000  0.5000  0.5000  8 O 2.49
Cl  0.5000  0.5000  0.0000  8 Bi 3.44, 8 O 3.69
O  0.0000  0.5000  0.3370  2 Bi 2.26, 2 Pb 2.49
O  0.0000  0.5000  0.6630  2 Bi 2.26, 2 Pb 2.49
O  0.5000  0.0000  0.3370  2 Bi 2.26, 2 Pb 2.49
O  0.5000  0.0000  0.6630  2 Bi 2.26, 2 Pb 2.49

Summary:
Calculated density, Mg/m³: 8.328
V, Å³/cell: 144.48
D(E_F), states/eV/cell: 4.32
Formation energy (no corrections), eV per formula unit: -8.821


VASP calculation (PBE) on a relaxed BiPbClO2 crystal.

Cell lengths 7.0688, 4.1022, 8.0019 Å; angles 90.00, 106.27, 90.00 degrees
With the nearest neighbours (Å) after each atom.
Atoms (fractional coordinates):
Bi  0.1681  0.2500  0.4108  4 O 2.19-2.30
Bi  0.8319  0.7500  0.5892  4 O 2.19-2.30
Pb  0.1924  0.2500  0.9352  4 O 2.41-2.64
Pb  0.8076  0.7500  0.0648  4 O 2.41-2.64
Cl  0.4296  0.7500  0.2544  3 Bi 3.24-3.32, 3 Pb 3.34-3.42, 3 O 3.42-3.59
Cl  0.5704  0.2500  0.7456  3 Bi 3.24-3.32, 3 Pb 3.34-3.42, 3 O 3.42-3.59
O  0.0048  0.7500  0.8637  1 Bi 2.19, 3 Pb 2.41-2.42
O  0.0153  0.7500  0.3950  3 Bi 2.29-2.30
O  0.9847  0.2500  0.6050  3 Bi 2.29-2.30
O  0.9952  0.2500  0.1363  1 Bi 2.19, 3 Pb 2.41-2.42

Summary:
Calculated density, Mg/m³: 7.211
V, Å³/cell: 222.74
D(E_F), states/eV/cell: 0.00
Formation energy (no corrections), eV per formula unit: -6.323


VASP calculation (PBE) on a relaxed BiPbClO2 crystal.

Cell lengths 6.9504, 6.9504, 5.6566 Å; angles 90.00, 90.00, 131.46 degrees
With the nearest neighbours (Å) after each atom.
Atoms (fractional coordinates):
Bi  0.0877  0.9123  0.7500  4 O 2.25
Bi  0.9123  0.0877  0.2500  4 O 2.25
Pb  0.3935  0.6065  0.7500  4 O 2.46
Pb  0.6065  0.3935  0.2500  4 O 2.46
Cl  0.2554  0.7446  0.2500  4 Pb 3.33-3.42, 4 Bi 3.48-3.54, 4 O 3.72
Cl  0.7446  0.2554  0.7500  4 Pb 3.33-3.42, 4 Bi 3.48-3.54, 4 O 3.72
O  0.2374  0.2374  0.0000  2 Bi 2.25, 2 Pb 2.46
O  0.2374  0.2374  0.5000  2 Bi 2.25, 2 Pb 2.46
O  0.7626  0.7626  0.0000  2 Bi 2.25, 2 Pb 2.46
O  0.7626  0.7626  0.5000  2 Bi 2.25, 2 Pb 2.46

Summary:
Calculated density, Mg/m³: 7.844
V, Å³/cell: 204.78
D(E_F), states/eV/cell: 0.00
Formation energy (no corrections), eV per formula unit: -6.397


VASP calculation (PBE) on a relaxed PmBi2ClO4 crystal.

Cell lengths 3.9456, 3.9456, 9.1583 Å; angles 90.00, 90.00, 90.00 degrees
With the nearest neighbours (Å) after each atom.
Atoms (fractional coordinates):
Pm  0.0000  0.0000  0.0000  8 O 2.45
Bi  0.5000  0.5000  0.2797  4 O 2.26
Bi  0.5000  0.5000  0.7203  4 O 2.26
Cl  0.0000  0.0000  0.5000  8 Bi 3.44, 8 O 3.70
O  0.0000  0.5000  0.1588  2 Bi 2.26, 2 Pm 2.45
O  0.0000  0.5000  0.8412  2 Bi 2.26, 2 Pm 2.45
O  0.5000  0.0000  0.1588  2 Bi 2.26, 2 Pm 2.45
O  0.5000  0.0000  0.8412  2 Bi 2.26, 2 Pm 2.45

Summary:
Calculated density, Mg/m³: 7.715
V, Å³/cell: 142.58
Formation energy (no corrections), eV per formula unit: -15.995


VASP calculation (PBE) on a relaxed PuBi3Cl2O6 crystal.

Cell lengths 7.2567, 7.2567, 5.5895 Å; angles 100.73, 100.73, 51.71 degrees
With the nearest neighbours (Å) after each atom.
Atoms (fractional coordinates):
Pu  0.0000  0.0000  0.0000  2 O 1.87
Bi  0.0000  0.5000  0.0000  2 O 2.36
Bi  0.5000  0.0000  0.0000  2 O 2.36
Bi  0.5000  0.5000  0.5000  4 O 2.40
Cl  0.3072  0.3072  0.6211  3 Bi 2.74-2.86, 1 O 2.88
Cl  0.6928  0.6928  0.3789  3 Bi 2.74-2.86, 1 O 2.88
O  0.1273  0.1273  0.2250  1 Pu 1.87
O  0.1729  0.6847  0.1946  1 Pu 2.20, 2 Bi 2.36-2.40
O  0.3153  0.8271  0.8054  1 Pu 2.20, 2 Bi 2.36-2.40
O  0.6847  0.1729  0.1946  1 Pu 2.20, 2 Bi 2.36-2.40
O  0.8271  0.3153  0.8054  1 Pu 2.20, 2 Bi 2.36-2.40
O  0.8727  0.8727  0.7750  1 Pu 1.87

Summary:
Calculated density, Mg/m³: 7.624
V, Å³/cell: 226.04
D(E_F), states/eV/cell: 4.00
Formation energy (no corrections), eV per formula unit: -16.783


Question: Among the records above, which one has the highest calculated density?
Answer: Bi2PbClO4